Record 1
Entry from Alexandria via LeMat-Bulk: crystalline TbTiAu2 at its relaxed geometry (GGA-PBE).

Cell and atoms, written as POSCAR:
```
TbTiAu2
1.0
3.543 0.000 0.000
0.000 4.830 0.000
0.000 0.000 4.830
Tb Au Ti
1 2 1
Cartesian
1.772 2.415 2.415
0.000 0.000 2.415
0.000 2.415 0.000
1.772 0.000 0.000
```

## Properties
- Energy relative to the elements: -0.50 eV per atom
- ΔE to the lowest computed polymorph: 0.036 eV/atom
- Total moment: 1.60 μB per formula unit


Record 2
Entry from Alexandria via LeMat-Bulk: crystalline Tb2TiAu6 at its relaxed geometry (GGA-PBE).

Cell and atoms, written as POSCAR:
```
Tb2TiAu6
1.0
5.129 0.178 0.569
0.754 8.330 2.161
0.338 -0.375 8.624
Tb Ti Au
4 2 12
Cartesian
2.854 4.299 8.173
0.703 1.643 4.457
3.368 3.834 3.181
5.518 6.490 6.897
1.669 0.688 8.010
4.552 7.445 3.344
3.149 5.913 5.331
0.637 4.841 3.726
3.072 2.219 6.023
5.584 3.292 7.628
3.449 0.681 3.490
5.229 5.294 9.817
2.772 7.451 7.864
0.992 2.839 1.537
2.218 6.570 1.919
1.761 8.234 4.131
4.003 1.563 9.435
4.460 -0.101 7.223
```

## Properties
- Energy relative to the elements: -0.57 eV per atom
- Total moment: 0.00 μB per formula unit


Record 3
Entry from Alexandria via LeMat-Bulk: crystalline TbTiAu4 at its relaxed geometry (GGA-PBE).

Cell and atoms, written as POSCAR:
```
TbTiAu4
1.0
3.600 0.000 0.000
0.000 3.600 0.000
0.000 0.000 8.939
Tb Ti Au
1 1 4
Cartesian
1.800 1.800 4.470
0.000 0.000 0.000
1.800 1.800 7.550
1.800 1.800 1.389
3.600 3.600 6.083
0.000 0.000 2.856
```

## Properties
- Energy relative to the elements: -0.60 eV per atom
- Total moment: 0.46 μB per formula unit


Record 4
Entry from Alexandria via LeMat-Bulk: crystalline Tb2TlAu at its relaxed geometry (GGA-PBE).

Cell and atoms, written as POSCAR:
```
Tb2TlAu
1.0
-1.804 -2.542 2.479
0.617 -3.919 -0.338
6.122 -1.589 6.039
Tb Tl Au
2 1 1
Cartesian
4.705 -1.712 4.881
1.015 -2.038 1.869
2.471 -4.012 4.087
-0.788 -4.313 1.433
```

## Properties
- Energy relative to the elements: -0.44 eV per atom
- Total moment: 0.00 μB per formula unit


Record 5
Entry from Alexandria via LeMat-Bulk: crystalline Tb2TlAu at its relaxed geometry (GGA-PBE).

Cell and atoms, written as POSCAR:
```
Tb2TlAu
1.0
-0.807 -0.698 -3.478
-0.051 -3.564 0.727
-7.554 0.446 1.664
Tb Tl Au
2 1 1
Cartesian
-5.820 0.344 1.282
-1.735 0.103 0.382
-4.206 -1.908 -0.544
-0.429 -2.131 -1.376
```

## Properties
- Energy relative to the elements: -0.60 eV per atom
- Total moment: 0.00 μB per formula unit


Record 6
Entry from Alexandria via LeMat-Bulk: crystalline Tb2TlAu at its relaxed geometry (GGA-PBE).

Cell and atoms, written as POSCAR:
```
Tb2TlAu
1.0
-2.172 -2.920 1.430
-1.717 -2.532 -2.434
5.670 -6.844 -0.020
Tb Tl Au
2 1 1
Cartesian
0.243 -2.928 -0.265
1.538 -9.368 -0.760
0.890 -6.148 -0.513
0.000 0.000 0.000
```

## Properties
- Energy relative to the elements: -0.47 eV per atom
- Total moment: 0.00 μB per formula unit


> The highest total moment belongs to which entry?

TbTiAu2


> What is the total moment in the fifth record?

0.00 μB per formula unit


> Number 3 is which compound?

TbTiAu4


> Which value of energy relative to the elements does entry 6 give?

-0.47 eV per atom